(1)
Tl2BiSe | PBE-GGA | relaxed

Geometry as POSCAR:
```
Tl2BiSe
1.0
0.000 3.877 3.877
3.877 0.000 3.877
3.877 3.877 0.000
Tl Bi Se
2 1 1
Cartesian
1.939 1.939 1.939
5.816 5.816 5.816
0.000 0.000 0.000
3.877 3.877 3.877
```

Summary:
ΔE to the lowest computed polymorph: 26 meV per atom
density of states at the Fermi level: 0.65 states/eV per atom

---

(2)
Tl2BiSe3 | PBE-GGA | relaxed

Geometry as POSCAR:
```
Tl2BiSe3
1.0
3.707 -6.411 0.000
3.707 6.411 0.000
-2.483 0.000 7.604
Tl Bi Se
4 2 6
Cartesian
0.000 0.000 0.000
2.466 4.240 3.802
2.466 0.000 3.802
2.466 -4.240 3.802
3.707 2.135 0.000
3.707 -2.135 0.000
1.214 2.102 1.638
-0.042 0.000 5.934
1.214 -2.102 1.638
3.717 2.102 5.965
4.973 0.000 1.670
3.717 -2.102 5.965
```

Summary:
ΔE to the lowest computed polymorph: 0 meV per atom
density of states at the Fermi level: 0.04 states/eV per atom

---

(3)
Tl2BiSe2 | PBE-GGA | relaxed

Geometry as POSCAR:
```
Tl2BiSe2
1.0
8.103 0.000 0.000
0.000 8.103 0.000
0.000 0.000 4.708
Tl Bi Se
4 2 4
Cartesian
1.158 2.893 0.000
2.893 6.945 0.000
5.210 1.158 0.000
6.945 5.210 0.000
0.000 0.000 2.354
4.051 4.051 2.354
1.421 5.472 2.354
2.631 1.421 2.354
5.472 6.682 2.354
6.682 2.631 2.354
```

Summary:
ΔE to the lowest computed polymorph: 66 meV per atom
density of states at the Fermi level: 0.30 states/eV per atom

---

(4)
TlBiSe2 | PBE-GGA | relaxed

Geometry as POSCAR:
```
TlBiSe2
1.0
7.960 0.000 0.000
0.000 4.298 0.000
0.000 0.000 15.369
Tl Bi Se
4 4 8
Cartesian
0.725 1.075 2.259
3.255 3.224 9.943
4.705 1.075 5.426
7.235 3.224 13.111
0.765 3.224 5.942
3.215 1.075 13.627
4.745 3.224 1.743
7.195 1.075 9.427
1.240 1.075 11.663
1.787 1.075 7.481
2.193 3.224 15.166
2.740 3.224 3.978
5.220 1.075 11.391
5.767 1.075 0.203
6.173 3.224 7.888
6.720 3.224 3.706
```

---

(5)
Tl2BiSe2 | PBE-GGA | relaxed

Geometry as POSCAR:
```
Tl2BiSe2
1.0
-1.915 1.915 10.464
1.915 -1.915 10.464
1.915 1.915 -10.464
Tl Bi Se
2 1 2
Cartesian
0.000 0.000 2.348
0.000 0.000 18.580
0.000 0.000 10.464
1.915 0.000 5.232
0.000 1.915 5.232
```

Summary:
ΔE to the lowest computed polymorph: 286 meV per atom
density of states at the Fermi level: 0.48 states/eV per atom

---

(6)
TlBi2Se2 | PBE-GGA | relaxed

Geometry as POSCAR:
```
TlBi2Se2
1.0
-2.294 2.294 7.467
2.294 -2.294 7.467
2.294 2.294 -7.467
Tl Bi Se
1 2 2
Cartesian
0.000 0.000 0.000
2.294 0.000 3.733
0.000 2.294 3.733
0.000 0.000 6.193
0.000 0.000 8.740
```

Summary:
ΔE to the lowest computed polymorph: 143 meV per atom
density of states at the Fermi level: 0.47 states/eV per atom

---

Let's list energy relative to the elements, uncorrected in order: 0.1, -2.3, -1.1, -1.3, 0.0, -0.1 eV/f.u..
Let's list total energy in order: -2.9987, -3.5585, -3.3410, -3.6366, -3.1205, -3.4304 eV/atom.